A plane-wave DFT calculation with PBE was carried out for a geometry-optimized PaAlTl2O6 structure.

* formation energy from raw total energies: -20.951 eV/f.u.

Geometry as CIF:
```
data_PaAlTl2O6
_chemical_formula_sum 'Pa4 Al4 Tl8 O24'
_cell_length_a 8.186
_cell_length_b 8.186
_cell_length_c 8.186
_cell_angle_alpha 90.00
_cell_angle_beta 90.00
_cell_angle_gamma 90.00
_symmetry_space_group_name_H-M 'F m -3 m'
_symmetry_Int_Tables_number 225
_symmetry_space_group_name_Hall '-F 4 2 3'
loop_
_atom_site_label
_atom_site_fract_x
_atom_site_fract_y
_atom_site_fract_z
Pa1 0.000 0.000 0.000
Al1 0.000 0.000 0.500
Tl1 0.250 0.250 0.250
O1 0.000 0.000 0.265
```

---

A plane-wave DFT calculation with PBE was carried out for a geometry-optimized Hf2HgTe2 structure.

* relative energy among the computed polymorphs: 126.6 kJ/mol of formula units
* formation energy from raw total energies: -0.708 eV/f.u.

Geometry as CIF:
```
data_Hf2HgTe2
_chemical_formula_sum 'Hf4 Hg2 Te4'
_cell_length_a 8.305
_cell_length_b 8.305
_cell_length_c 3.517
_cell_angle_alpha 90.00
_cell_angle_beta 90.00
_cell_angle_gamma 90.00
_symmetry_space_group_name_H-M 'P 4/m b m'
_symmetry_Int_Tables_number 127
_symmetry_space_group_name_Hall '-P 4 2ab'
loop_
_atom_site_label
_atom_site_fract_x
_atom_site_fract_y
_atom_site_fract_z
Hf1 0.144 0.356 0.000
Hg1 0.000 0.000 0.500
Te1 0.144 0.644 0.500
```

---

A plane-wave DFT calculation with PBE was carried out for a geometry-optimized Pm3NpAg3S8 structure.

* formation energy from raw total energies: -18.769 eV/f.u.

Geometry as CIF:
```
data_Pm3NpAg3S8
_chemical_formula_sum 'Pm6 Np2 Ag6 S16'
_cell_length_a 12.953
_cell_length_b 8.267
_cell_length_c 7.706
_cell_angle_alpha 90.00
_cell_angle_beta 120.17
_cell_angle_gamma 90.00
_symmetry_space_group_name_H-M 'C 1 2/m 1'
_symmetry_Int_Tables_number 12
loop_
_symmetry_equiv_pos_as_xyz
'x,y,z'
'-x,-y,-z'
'-x,y,-z'
'x,-y,z'
'x+1/2,y+1/2,z'
'-x+1/2,-y+1/2,-z'
'-x+1/2,y+1/2,-z'
'x+1/2,-y+1/2,z'
loop_
_atom_site_label
_atom_site_fract_x
_atom_site_fract_y
_atom_site_fract_z
Pm1 0.000 0.000 0.000
Pm2 0.250 0.250 0.500
Np1 0.000 0.500 0.000
Ag1 0.000 0.500 0.500
Ag2 0.250 0.250 0.000
S1 0.000 0.259 0.240
S2 0.241 0.500 0.242
S3 0.250 0.000 0.251
```

---

A plane-wave DFT calculation with PBE was carried out for a geometry-optimized LiGdAsAu structure.

* energy of formation from the pure elements: -328 kJ/mol of formula units

Geometry as CIF:
```
data_LiGdAsAu
_chemical_formula_sum 'Li4 Gd4 As4 Au4'
_cell_length_a 6.928
_cell_length_b 6.928
_cell_length_c 6.928
_cell_angle_alpha 90.00
_cell_angle_beta 90.00
_cell_angle_gamma 90.00
_symmetry_space_group_name_H-M 'F -4 3 m'
_symmetry_Int_Tables_number 216
_symmetry_space_group_name_Hall 'F -4 2 3'
loop_
_atom_site_label
_atom_site_fract_x
_atom_site_fract_y
_atom_site_fract_z
Li1 0.000 0.000 0.000
Gd1 0.000 0.000 0.500
As1 0.250 0.250 0.250
Au1 0.250 0.250 0.750
```

---

no.,DOS at the Fermi energy (states/eV per cell)
1,10.98
2,3.35
3,14.63
4,6.01